# 1
! SCAN CuPt2Pb, PBEsol geometry; values from VASP
! E: -2.1216 hartree per atom
! SG: Pmm2, No. 25
&SYSTEM
  ibrav = 0, nat = 4, ntyp = 3
/
ATOMIC_SPECIES
Cu 63.55 Cu.upf
Pt 195.08 Pt.upf
Pb 207.20 Pb.upf
ATOMIC_POSITIONS angstrom
Cu 0.0000 0.0000 0.0000
Pt 0.0000 0.0000 3.3648
Pt 1.4791 1.8975 4.9225
Pb 1.4791 1.8975 1.7989
CELL_PARAMETERS angstrom
2.9581 0.0000 0.0000
0.0000 3.7950 0.0000
0.0000 0.0000 5.9487


# 2
! SCAN Na2Ti2Si4O13, PBEsol geometry; values from VASP
! E: -0.3934 hartree per atom
! SG: C2/c, No. 15
! formation energy from raw total energies: -3.011 eV/atom
&SYSTEM
  ibrav = 0, nat = 42, ntyp = 4
/
ATOMIC_SPECIES
Na 22.99 Na.upf
Ti 47.87 Ti.upf
Si 28.09 Si.upf
O 16.00 O.upf
ATOMIC_POSITIONS angstrom
Na 7.9187 2.6153 3.6153
Na 15.2611 2.6153 4.1086
Na 8.3644 -2.6153 1.0407
Na 15.7068 -2.6153 1.5340
Ti 8.4022 0.7812 1.1008
Ti 7.9565 -0.7812 3.6754
Ti 15.6690 0.7812 1.4739
Ti 15.2233 -0.7812 4.0485
Si 10.4678 3.4612 1.0887
Si 5.0072 0.8047 4.0166
Si 13.6034 3.4612 1.4860
Si 5.4529 -0.8047 1.4419
Si 18.1726 0.8047 3.7074
Si 10.0221 -3.4612 3.6633
Si 18.6183 -0.8047 1.1327
Si 13.1577 -3.4612 4.0606
O 1.5038 0.2749 2.6554
O 6.9346 2.0671 1.4198
O 1.9495 -0.2749 0.0807
O 12.0356 3.1146 1.2873
O 9.5978 2.1985 0.6263
O 5.0527 0.0917 0.0977
O 4.6070 -0.0917 2.6724
O 6.6073 0.7063 4.2902
O 8.9098 0.5986 2.8227
O 14.4733 2.1985 1.9484
O 7.0530 -0.7063 1.7155
O 9.3555 -0.5986 0.2480
O 17.1366 2.0671 1.1549
O 6.4889 -2.0671 3.9944
O 14.2700 0.5986 4.9013
O 16.5725 0.7063 3.4338
O 9.1522 -2.1985 3.2009
O 14.7157 -0.5986 2.3267
O 17.0182 -0.7063 0.8591
O 19.0185 0.0917 2.4769
O 18.5728 -0.0917 5.0516
O 14.0277 -2.1985 4.5231
O 11.5899 -3.1146 3.8620
O 21.6760 0.2749 5.0686
O 16.6909 -2.0671 3.7296
O 22.1217 -0.2749 2.4939
CELL_PARAMETERS angstrom
12.2584 -4.3472 0.0000
12.2584 4.3472 0.0000
-0.8914 0.0000 5.1493


# 3
! SCAN Sm3Ho, PBEsol geometry; values from VASP
! E: -1.6742 hartree per atom
! SG: P6_3/mmc, No. 194
&SYSTEM
  ibrav = 0, nat = 8, ntyp = 2
/
ATOMIC_SPECIES
Sm 150.36 Sm.upf
Ho 164.93 Ho.upf
ATOMIC_POSITIONS angstrom
Sm 0.0000 2.0585 1.4171
Sm -1.7797 5.1410 1.4171
Sm 1.7827 1.0292 4.2514
Sm 1.7797 5.1410 1.4171
Sm 5.3421 1.0292 4.2514
Sm 3.5624 4.1118 4.2514
Ho 0.0000 4.1135 4.2514
Ho 3.5624 2.0567 1.4171
CELL_PARAMETERS angstrom
7.1248 0.0000 0.0000
-3.5624 6.1702 0.0000
0.0000 0.0000 5.6685


# 4
! SCAN K2ZnGe2O6, PBEsol geometry; values from VASP
! E: -0.4229 hartree per atom
! SG: C222_1, No. 20
! formation energy from raw total energies: -1.896 eV/atom
&SYSTEM
  ibrav = 0, nat = 22, ntyp = 4
/
ATOMIC_SPECIES
K 39.10 K.upf
Zn 65.41 Zn.upf
Ge 72.64 Ge.upf
O 16.00 O.upf
ATOMIC_POSITIONS angstrom
K 2.5058 3.2088 6.2370
K 3.8929 3.2088 9.9520
K 2.5058 -3.2088 4.5556
K 3.8929 -3.2088 0.8407
Zn 3.1994 2.9042 2.6982
Zn 3.1994 -2.9042 8.0945
Ge 2.1747 0.0705 3.8853
Ge 2.1747 -0.0705 6.9074
Ge 4.2240 0.0705 1.5111
Ge 4.2240 -0.0705 9.2816
O 0.7660 0.9293 6.6559
O 1.8187 1.7096 3.4426
O 0.7660 -0.9293 4.1367
O 3.1994 0.7712 8.0945
O 1.8187 -1.7096 7.3500
O 3.1704 0.0000 5.3963
O 3.2283 0.0000 0.0000
O 4.5800 1.7096 1.9537
O 3.1994 -0.7712 2.6982
O 5.6327 0.9293 9.5330
O 4.5800 -1.7096 8.8389
O 5.6327 -0.9293 1.2596
CELL_PARAMETERS angstrom
3.1994 -4.9048 0.0000
3.1994 4.9048 0.0000
0.0000 0.0000 10.7926


# 5
! SCAN WCIO2, PBEsol geometry; values from VASP
! E: -0.9419 hartree per atom
! SG: P4/mmm, No. 123
! formation energy from raw total energies: 0.168 eV/atom
&SYSTEM
  ibrav = 0, nat = 5, ntyp = 4
/
ATOMIC_SPECIES
W 183.84 W.upf
C 12.01 C.upf
I 126.90 I.upf
O 16.00 O.upf
ATOMIC_POSITIONS angstrom
W 0.0000 0.0000 0.0000
C 1.8853 1.8853 2.8746
I 0.0000 0.0000 2.8746
O 0.0000 1.8853 0.0000
O 1.8853 0.0000 0.0000
CELL_PARAMETERS angstrom
3.7705 0.0000 0.0000
0.0000 3.7705 0.0000
0.0000 0.0000 5.7492


# 6
! SCAN TcSbIr2, PBEsol geometry; values from VASP
! E: -1.9649 hartree per atom
! SG: Cm, No. 8
! formation energy from raw total energies: 0.163 eV/atom
&SYSTEM
  ibrav = 0, nat = 4, ntyp = 3
/
ATOMIC_SPECIES
Tc 98.00 Tc.upf
Sb 121.76 Sb.upf
Ir 192.22 Ir.upf
ATOMIC_POSITIONS angstrom
Tc 0.0000 0.0000 0.0000
Sb 1.5128 0.0000 3.4224
Ir 4.0418 0.0000 2.2115
Ir 6.4937 0.0000 0.9702
CELL_PARAMETERS angstrom
4.4868 -1.4308 0.0000
4.4868 1.4308 0.0000
-1.0825 0.0000 4.8494


# 7
! SCAN Ti3In, PBEsol geometry; values from VASP
! E: -0.7562 hartree per atom
! SG: P6_3/mmc, No. 194
&SYSTEM
  ibrav = 0, nat = 8, ntyp = 2
/
ATOMIC_SPECIES
Ti 47.87 Ti.upf
In 114.82 In.upf
ATOMIC_POSITIONS angstrom
Ti 0.0000 1.6607 1.1816
Ti -1.4737 4.2132 1.1816
Ti 1.4382 0.8304 3.5448
Ti 1.4737 4.2132 1.1816
Ti 4.3856 0.8304 3.5448
Ti 2.9119 3.3829 3.5448
In 0.0000 3.3624 3.5448
In 2.9119 1.6812 1.1816
CELL_PARAMETERS angstrom
5.8238 0.0000 0.0000
-2.9119 5.0436 0.0000
0.0000 0.0000 4.7264


# 8
! SCAN Cs4Os2Cl10O, PBEsol geometry; values from VASP
! E: -0.8768 hartree per atom
! SG: Pbca, No. 61
! formation energy from raw total energies: -1.448 eV/atom
&SYSTEM
  ibrav = 0, nat = 68, ntyp = 4
/
ATOMIC_SPECIES
Cs 132.91 Cs.upf
Os 190.23 Os.upf
Cl 35.45 Cl.upf
O 16.00 O.upf
ATOMIC_POSITIONS angstrom
Cs 0.2439 1.9986 2.8094
Cs 0.2439 4.9039 9.0288
Cs 2.5815 8.7964 7.5255
Cs 2.5815 11.9110 1.3060
Cs 3.2747 1.8939 7.5255
Cs 3.2747 5.0085 1.3060
Cs 5.6124 8.9010 2.8094
Cs 5.6124 11.8063 9.0288
Cs 6.1002 1.9986 3.4101
Cs 6.1002 4.9039 9.6295
Cs 8.4378 8.7964 11.1329
Cs 8.4378 11.9110 4.9134
Cs 9.1310 1.8939 11.1329
Cs 9.1310 5.0085 4.9134
Cs 11.4686 8.9010 3.4101
Cs 11.4686 11.8063 9.6295
Os 1.0595 8.1954 11.7478
Os 1.0595 12.5120 5.5284
Os 4.7968 1.2929 11.7478
Os 4.7968 5.6095 5.5284
Os 6.9158 8.1954 6.9105
Os 6.9158 12.5120 0.6911
Os 10.6530 1.2929 6.9105
Os 10.6530 5.6095 0.6911
Cl 0.1532 1.3608 8.9490
Cl 0.1532 5.5417 2.7296
Cl 0.3019 3.0450 6.0672
Cl 0.3019 3.8575 12.2867
Cl 2.4062 8.3423 1.2542
Cl 2.4033 9.8917 10.8483
Cl 2.4033 10.8157 4.6288
Cl 2.4062 12.3651 7.4736
Cl 2.5903 0.2282 4.5667
Cl 2.5903 6.6742 10.7861
Cl 3.2660 7.1307 4.5667
Cl 3.2660 13.5767 10.7861
Cl 3.4500 1.4398 1.2542
Cl 3.4530 2.9892 10.8483
Cl 3.4530 3.9132 4.6288
Cl 3.4500 5.4626 7.4736
Cl 5.5544 9.9474 6.0672
Cl 5.5544 10.7599 12.2867
Cl 5.7030 8.2632 8.9490
Cl 5.7030 12.4441 2.7296
Cl 6.0095 1.3608 9.7093
Cl 6.0095 5.5417 3.4899
Cl 6.1582 3.0450 0.1522
Cl 6.1582 3.8575 6.3717
Cl 8.2625 8.3423 4.9653
Cl 8.2596 9.8917 7.8101
Cl 8.2596 10.8157 1.5906
Cl 8.2625 12.3651 11.1847
Cl 8.4465 0.2282 1.6528
Cl 8.4465 6.6742 7.8722
Cl 9.1223 7.1307 1.6528
Cl 9.1223 13.5767 7.8722
Cl 9.3063 1.4398 4.9653
Cl 9.3092 2.9892 7.8101
Cl 9.3092 3.9132 1.5906
Cl 9.3063 5.4626 11.1847
Cl 11.4106 9.9474 0.1522
Cl 11.4106 10.7599 6.3717
Cl 11.5593 8.2632 9.7093
Cl 11.5593 12.4441 3.4899
O 0.0000 0.0000 6.2194
O 0.0000 6.9024 0.0000
O 5.8563 0.0000 0.0000
O 5.8563 6.9024 6.2194
CELL_PARAMETERS angstrom
11.7125 0.0000 0.0000
0.0000 13.8049 0.0000
0.0000 0.0000 12.4389


Please write out number 4 again, unchanged.
! SCAN K2ZnGe2O6, PBEsol geometry; values from VASP
! E: -0.4229 hartree per atom
! SG: C222_1, No. 20
! formation energy from raw total energies: -1.896 eV/atom
&SYSTEM
  ibrav = 0, nat = 22, ntyp = 4
/
ATOMIC_SPECIES
K 39.10 K.upf
Zn 65.41 Zn.upf
Ge 72.64 Ge.upf
O 16.00 O.upf
ATOMIC_POSITIONS angstrom
K 2.5058 3.2088 6.2370
K 3.8929 3.2088 9.9520
K 2.5058 -3.2088 4.5556
K 3.8929 -3.2088 0.8407
Zn 3.1994 2.9042 2.6982
Zn 3.1994 -2.9042 8.0945
Ge 2.1747 0.0705 3.8853
Ge 2.1747 -0.0705 6.9074
Ge 4.2240 0.0705 1.5111
Ge 4.2240 -0.0705 9.2816
O 0.7660 0.9293 6.6559
O 1.8187 1.7096 3.4426
O 0.7660 -0.9293 4.1367
O 3.1994 0.7712 8.0945
O 1.8187 -1.7096 7.3500
O 3.1704 0.0000 5.3963
O 3.2283 0.0000 0.0000
O 4.5800 1.7096 1.9537
O 3.1994 -0.7712 2.6982
O 5.6327 0.9293 9.5330
O 4.5800 -1.7096 8.8389
O 5.6327 -0.9293 1.2596
CELL_PARAMETERS angstrom
3.1994 -4.9048 0.0000
3.1994 4.9048 0.0000
0.0000 0.0000 10.7926


Please write out number 1 again, unchanged.
! SCAN CuPt2Pb, PBEsol geometry; values from VASP
! E: -2.1216 hartree per atom
! SG: Pmm2, No. 25
&SYSTEM
  ibrav = 0, nat = 4, ntyp = 3
/
ATOMIC_SPECIES
Cu 63.55 Cu.upf
Pt 195.08 Pt.upf
Pb 207.20 Pb.upf
ATOMIC_POSITIONS angstrom
Cu 0.0000 0.0000 0.0000
Pt 0.0000 0.0000 3.3648
Pt 1.4791 1.8975 4.9225
Pb 1.4791 1.8975 1.7989
CELL_PARAMETERS angstrom
2.9581 0.0000 0.0000
0.0000 3.7950 0.0000
0.0000 0.0000 5.9487


Question: The lowest E belongs to which entry?
Answer: CuPt2Pb